Compound: PuB3F12
Source: Alexandria via LeMat-Bulk
Functional: PBE-GGA
Structure: relaxed

Unit cell a=9.2355 b=9.2355 c=5.8603 alpha=90.00 beta=90.00 gamma=120.00
With the nearest neighbours (Å) after each atom.
Space group P6_3/m (No. 176)
One atom of each set of equivalent atoms:
Pu: 0.3333 0.6667 0.2500 x2  9 F 2.44
B: 0.0917 0.3830 0.7500 x6  4 F 1.34-1.45
F: 0.0235 0.2160 0.7500 x6  1 B 1.34
F: 0.0331 0.5655 0.2500 x6  1 B 1.45
F: 0.1965 0.4605 0.5528 x12  1 B 1.45

* total energy: -210.69 eV for the cell shown
* magnetization: 0.312 μB/atom